[1]
The following is a DFT calculation (PBE) of a relaxed structure of LiRu2PbO8.

Lattice parameters (Å, degrees): 5.4039 5.4039 7.3004 89.37 89.37 67.24
Last column: magnetic moment on the atom in μB.
Atoms (fractional coordinates):
1 Ru 0.6387 0.6387 0.2251  0.78
2 Ru 0.3613 0.3613 0.7749  0.78
3 O 0.7265 0.7265 0.4432  0.15
4 O 0.2256 0.2256 0.9473  0.16
5 O 0.7780 0.2797 0.2233  0.09
6 O 0.2797 0.7780 0.2233  0.09
7 O 0.2735 0.2735 0.5568  0.15
8 O 0.7744 0.7744 0.0527  0.16
9 O 0.2220 0.7203 0.7767  0.09
10 O 0.7203 0.2220 0.7767  0.09
11 Pb 0.0000 0.0000 0.5000  0.04
12 Li 0.0000 0.0000 0.0000  0.01

Output
Its density of states at the Fermi level is 6.2 states/eV per cell. As for the space group: No. 12.

[2]
The following is a DFT calculation (PBE) of a relaxed structure of Li2Ru2PbO6.

Lattice parameters (Å, degrees): 6.3006 6.3006 8.8235 69.08 69.08 60.00
Last column: magnetic moment on the atom in μB.
Atoms (fractional coordinates):
1 Li 0.5622 0.5622 0.3135  0.01
2 Li 0.4378 0.4378 0.6865  0.01
3 O 0.7363 0.7363 0.3075  0.15
4 O 0.2199 0.7363 0.3075  0.15
5 O 0.7363 0.2199 0.3075  0.15
6 O 0.2637 0.7801 0.6925  0.15
7 O 0.2637 0.2637 0.6925  0.15
8 O 0.7801 0.2637 0.6925  0.15
9 Ru 0.1156 0.1156 0.6533  1.27
10 Ru 0.8844 0.8844 0.3467  1.27
11 Pb 0.0000 0.0000 0.0000  0.05

Output
As for the space group: No. 166.

[3]
The following is a DFT calculation (PBE) of a relaxed structure of LiRuPbO4.

Lattice parameters (Å, degrees): 5.7738 6.5205 6.5205 64.27 63.72 63.72
Last column: magnetic moment on the atom in μB.
Atoms (fractional coordinates):
1 Ru 0.0000 0.0000 0.5000  0.31
2 Ru 0.5000 0.0000 0.5000  0.31
3 Li 0.6091 0.6409 0.1409  0.00
4 Li 0.3909 0.3591 0.8591  0.00
5 O 0.2917 0.2148 0.7148  0.02
6 O 0.2431 0.7926 0.7211  0.00
7 O 0.7083 0.7852 0.2852  0.02
8 O 0.7569 0.7789 0.7074  0.00
9 O 0.7569 0.2074 0.2789  0.00
10 O 0.2214 0.7852 0.2852  0.02
11 O 0.2431 0.2211 0.2926  0.00
12 O 0.7786 0.2148 0.7148  0.02
13 Pb 0.0000 0.0000 0.0000  -0.01
14 Pb 0.0000 0.5000 0.5000  -0.01

Output
Its density of states at the Fermi level is 7.1 states/eV per cell. As for the space group: No. 74.

[4]
The following is a DFT calculation (PBE) of a relaxed structure of LiRuPbO5.

Lattice parameters (Å, degrees): 6.2791 6.2791 8.0025 100.28 100.28 118.97
Last column: magnetic moment on the atom in μB.
Atoms (fractional coordinates):
1 O 0.3644 0.9835 0.6733  0.14
2 O 0.0165 0.6356 0.8267  0.14
3 O 0.4646 0.2353 0.0618  0.13
4 O 0.7647 0.5354 0.4382  0.13
5 O 0.9835 0.3644 0.1733  0.14
6 O 0.2353 0.4646 0.5618  0.13
7 O 0.0821 0.9179 0.2500  0.02
8 O 0.9179 0.0821 0.7500  0.02
9 O 0.5354 0.7647 0.9382  0.13
10 O 0.6356 0.0165 0.3267  0.14
11 Pb 0.0000 0.0000 0.5000  0.02
12 Pb 0.0000 0.0000 0.0000  0.02
13 Li 0.7381 0.2619 0.7500  0.01
14 Li 0.2619 0.7381 0.2500  0.01
15 Ru 0.2934 0.7066 0.7500  0.89
16 Ru 0.7066 0.2934 0.2500  0.89

Output
Its density of states at the Fermi level is 6.5 states/eV per cell. As for the space group: No. 15.

[5]
The following is a DFT calculation (PBE) of a relaxed structure of LiRuPbO3.

Lattice parameters (Å, degrees): 3.9320 5.6252 3.8860 69.94 90.07 75.57
Atoms (fractional coordinates):
1 O 0.3944 0.4735 0.9115
2 O 0.8665 0.5573 0.3696
3 O 0.7221 0.0645 0.6164
4 Ru 0.3883 0.4399 0.4282
5 Li 0.7811 0.6718 0.8124
6 Pb 0.0975 0.0429 0.1285

Output
Its density of states at the Fermi level is 2.9 states/eV per cell. As for the space group: No. 1.

[6]
The following is a DFT calculation (PBE) of a relaxed structure of Li2RuPb3O6.

Lattice parameters (Å, degrees): 5.8284 5.8284 6.1989 90.00 90.00 120.00
Last column: magnetic moment on the atom in μB.
Atoms (fractional coordinates):
1 O 0.3311 0.1656 0.6825  0.07
2 O 0.8344 0.6689 0.6825  0.07
3 O 0.6689 0.8344 0.3175  0.07
4 O 0.1656 0.3311 0.3175  0.07
5 O 0.1656 0.8344 0.3175  0.07
6 O 0.8344 0.1656 0.6825  0.07
7 Li 0.3333 0.6667 0.1801  -0.01
8 Li 0.6667 0.3333 0.8199  -0.01
9 Pb 0.6667 0.3333 0.3864  0.01
10 Pb 0.0000 0.0000 0.0000  0.01
11 Pb 0.3333 0.6667 0.6136  0.01
12 Ru 0.0000 0.0000 0.5000  1.38

Output
Its density of states at the Fermi level is 3.8 states/eV per cell. As for the space group: No. 164.

[7]
The following is a DFT calculation (PBE) of a relaxed structure of LiPbS2O8.

Lattice parameters (Å, degrees): 4.8624 4.8624 7.9881 72.28 72.28 60.00
Last column: magnetic moment on the atom in μB.
Atoms (fractional coordinates):
1 O 0.7301 0.0156 0.8191  0.14
2 O 0.0156 0.4351 0.8191  0.14
3 O 0.5649 0.2699 0.1809  0.14
4 O 0.2699 0.9844 0.1809  0.14
5 O 0.4351 0.7301 0.8191  0.14
6 O 0.9844 0.5649 0.1809  0.14
7 O 0.8148 0.8148 0.5555  0.06
8 O 0.1852 0.1852 0.4445  0.06
9 S 0.2526 0.2526 0.2421  -0.01
10 S 0.7474 0.7474 0.7579  -0.01
11 Pb 0.5000 0.5000 0.5000  0.00
12 Li 0.0000 0.0000 0.0000  0.00

Output
Its density of states at the Fermi level is 9.4 states/eV per cell. As for the space group: No. 148.

[8]
The following is a DFT calculation (PBE) of a relaxed structure of LiPbSO4.

Lattice parameters (Å, degrees): 5.2363 5.9066 6.9865 90.00 109.48 90.00
Atoms (fractional coordinates):
1 O 0.8823 0.4550 0.7393
2 O 0.1177 0.5450 0.2607
3 O 0.2698 0.7500 0.5830
4 O 0.7302 0.2500 0.4170
5 O 0.4512 0.2500 0.6381
6 O 0.5488 0.7500 0.3619
7 O 0.1177 0.9550 0.2607
8 O 0.8823 0.0450 0.7393
9 Pb 0.6220 0.7500 0.0016
10 Pb 0.3780 0.2500 0.9984
11 Li 0.1085 0.2500 0.3998
12 Li 0.8915 0.7500 0.6002
13 S 0.7335 0.2500 0.6308
14 S 0.2665 0.7500 0.3692

Output
Its density of states at the Fermi level is 1.2 states/eV per cell. As for the space group: No. 11.

[9]
The following is a DFT calculation (PBE) of a relaxed structure of LiSbPb2O6.

Lattice parameters (Å, degrees): 5.5644 5.7715 8.4253 90.00 88.14 90.00
Atoms (fractional coordinates):
1 O 0.6339 0.0736 0.2782
2 O 0.1339 0.4264 0.7782
3 O 0.7093 0.3060 0.9512
4 O 0.3153 0.7224 0.4172
5 O 0.1847 0.2224 0.0828
6 O 0.7907 0.8060 0.5488
7 O 0.3661 0.9264 0.7218
8 O 0.8153 0.7776 0.9172
9 O 0.8661 0.5736 0.2218
10 O 0.2907 0.6940 0.0488
11 O 0.6847 0.2776 0.5828
12 O 0.2093 0.1940 0.4512
13 Li 0.5000 0.0000 0.0000
14 Li 0.0000 0.5000 0.5000
15 Pb 0.0270 0.9486 0.2631
16 Pb 0.4730 0.4486 0.2369
17 Pb 0.5270 0.5514 0.7631
18 Pb 0.9730 0.0514 0.7369
19 Sb 0.5000 0.0000 0.5000
20 Sb 0.0000 0.5000 0.0000

Output
Its density of states at the Fermi level is 7.2 states/eV per cell. As for the space group: No. 14.

[10]
The following is a DFT calculation (PBE) of a relaxed structure of Li2SbPb2O6.

Lattice parameters (Å, degrees): 5.9311 5.9311 6.1811 61.33 61.33 60.00
Last column: magnetic moment on the atom in μB.
Atoms (fractional coordinates):
1 Li 0.5896 0.5896 0.2312  0.00
2 Li 0.4104 0.4104 0.7688  0.00
3 Sb 0.0000 0.0000 0.0000  -0.01
4 O 0.7656 0.7656 0.2505  0.14
5 O 0.2344 0.2344 0.7495  0.14
6 O 0.2344 0.7817 0.7495  0.14
7 O 0.7656 0.2183 0.2505  0.14
8 O 0.7817 0.2344 0.7495  0.14
9 O 0.2183 0.7656 0.2505  0.14
10 Pb 0.2044 0.2044 0.3867  0.01
11 Pb 0.7956 0.7956 0.6133  0.01

Output
Its density of states at the Fermi level is 7.3 states/eV per cell. As for the space group: No. 166.

[11]
The following is a DFT calculation (PBE) of a relaxed structure of LiSbPb2O.

Lattice parameters (Å, degrees): 5.3544 5.3544 4.5286 90.00 90.00 90.00
Atoms (fractional coordinates):
1 Pb 0.5000 0.0000 0.0000
2 Pb 0.0000 0.5000 0.0000
3 Sb 0.5000 0.5000 0.5000
4 O 0.0000 0.0000 0.0000
5 Li 0.0000 0.0000 0.5000

Output
Its density of states at the Fermi level is 1.3 states/eV per cell. As for the space group: No. 123.

[12]
The following is a DFT calculation (PBE) of a relaxed structure of LiSc2PbO6.

Lattice parameters (Å, degrees): 5.4534 5.4536 5.8370 62.15 62.15 60.00
Last column: magnetic moment on the atom in μB.
Atoms (fractional coordinates):
1 O 0.2288 0.9002 0.2442  0.09
2 O 0.3896 0.7274 0.7446  0.22
3 O 0.1383 0.3895 0.7447  0.22
4 O 0.6267 0.2289 0.2441  0.09
5 O 0.9002 0.6268 0.2443  0.09
6 O 0.7275 0.1384 0.7446  0.22
7 Sc 0.0172 0.0172 0.9484  -0.02
8 Sc 0.5175 0.5175 0.4475  -0.02
9 Li 0.8082 0.8080 0.5755  0.00
10 Pb 0.3076 0.3076 0.0772  -0.01

Output
Its density of states at the Fermi level is 8.2 states/eV per cell. As for the space group: No. 146.

[13]
The following is a DFT calculation (PBE) of a relaxed structure of LiSc2PbO.

Lattice parameters (Å, degrees): 4.4179 4.4179 4.3411 90.00 90.00 90.00
Atoms (fractional coordinates):
1 Sc 0.0000 0.5000 0.0000
2 Sc 0.5000 0.0000 0.0000
3 O 0.0000 0.0000 0.0000
4 Pb 0.5000 0.5000 0.5000
5 Li 0.0000 0.0000 0.5000

Output
Its density of states at the Fermi level is 2.3 states/eV per cell. As for the space group: No. 123.

[14]
The following is a DFT calculation (PBE) of a relaxed structure of Li2ScPbO4.

Lattice parameters (Å, degrees): 3.2187 5.5555 5.8329 66.80 90.00 90.00
Atoms (fractional coordinates):
1 Li 0.0000 0.0000 0.0000
2 Li 0.5000 0.0000 0.5000
3 O 0.5000 0.2662 0.7343
4 O 0.0000 0.2544 0.2920
5 O 0.5000 0.7338 0.2657
6 O 0.0000 0.7457 0.7080
7 Pb 0.5000 0.5000 0.0000
8 Sc 0.0000 0.5000 0.5000

Output
Its density of states at the Fermi level is 2.8 states/eV per cell. As for the space group: No. 10.

[15]
The following is a DFT calculation (PBE) of a relaxed structure of LiPbSe2O8.

Lattice parameters (Å, degrees): 5.0528 5.0528 8.0253 71.65 71.65 60.00
Last column: magnetic moment on the atom in μB.
Atoms (fractional coordinates):
1 O 0.8216 0.8216 0.5351  0.09
2 O 0.0474 0.4102 0.8237  0.13
3 O 0.7187 0.0474 0.8237  0.13
4 O 0.4102 0.7187 0.8237  0.13
5 O 0.2813 0.9526 0.1763  0.13
6 O 0.5898 0.2813 0.1763  0.13
7 O 0.1784 0.1784 0.4649  0.09
8 O 0.9526 0.5898 0.1763  0.13
9 Se 0.7459 0.7459 0.7622  -0.02
10 Se 0.2541 0.2541 0.2378  -0.02
11 Pb 0.5000 0.5000 0.5000  0.00
12 Li 0.0000 0.0000 0.0000  0.00

Output
Its density of states at the Fermi level is 11.2 states/eV per cell. As for the space group: No. 148.

[16]
The following is a DFT calculation (PBE) of a relaxed structure of Li2PbSeO4.

Lattice parameters (Å, degrees): 6.5272 6.5272 7.1158 114.27 114.27 104.04
Atoms (fractional coordinates):
1 Li 0.5000 0.0000 0.0000
2 Li 0.5000 0.5000 0.0000
3 Li 0.0000 0.0000 0.5000
4 Li 0.5000 0.0000 0.5000
5 O 0.1088 0.1818 0.8554
6 O 0.6818 0.6088 0.3554
7 O 0.8912 0.8182 0.1446
8 O 0.1975 0.8069 0.9437
9 O 0.3069 0.6975 0.4437
10 O 0.6931 0.3025 0.5563
11 O 0.3182 0.3912 0.6446
12 O 0.8025 0.1931 0.0563
13 Pb 0.0000 0.5000 0.5000
14 Pb 0.0000 0.5000 0.0000
15 Se 0.0000 0.0000 0.0000
16 Se 0.5000 0.5000 0.5000

Output
Its density of states at the Fermi level is 3.8 states/eV per cell. As for the space group: No. 15.

[17]
The following is a DFT calculation (PBE) of a relaxed structure of Li2PbSeO6.

Lattice parameters (Å, degrees): 7.0841 7.7678 7.7678 62.33 58.03 58.03
Last column: magnetic moment on the atom in μB.
Atoms (fractional coordinates):
1 Se 0.7500 0.6896 0.3104  0.00
2 Se 0.2500 0.3104 0.6896  0.00
3 Li 0.2464 0.2582 0.1693  0.00
4 Li 0.7536 0.7418 0.8307  0.00
5 Li 0.7464 0.1693 0.2582  0.00
6 Li 0.2536 0.8307 0.7418  0.00
7 O 0.5637 0.3088 0.0611  0.68
8 O 0.3317 0.2605 0.8797  0.02
9 O 0.9820 0.4627 0.3292  0.04
10 O 0.8317 0.8797 0.2605  0.02
11 O 0.0180 0.5373 0.6708  0.04
12 O 0.5180 0.6708 0.5373  0.04
13 O 0.4820 0.3292 0.4627  0.04
14 O 0.9363 0.9389 0.6912  0.68
15 O 0.6683 0.7395 0.1203  0.02
16 O 0.4363 0.6912 0.9389  0.68
17 O 0.1683 0.1203 0.7395  0.02
18 O 0.0637 0.0611 0.3088  0.68
19 Pb 0.7500 0.2556 0.7444  0.17
20 Pb 0.2500 0.7444 0.2556  0.17

Output
Its density of states at the Fermi level is 0.5 states/eV per cell. As for the space group: No. 15.

[18]
The following is a DFT calculation (PBE) of a relaxed structure of Li10Si2PbO10.

Lattice parameters (Å, degrees): 5.2018 6.1383 15.3906 101.50 99.40 90.00
Atoms (fractional coordinates):
1 O 0.3591 0.5874 0.7405
2 O 0.6187 0.2137 0.4273
3 O 0.7387 0.7280 0.4560
4 O 0.0000 0.7495 0.0000
5 O 0.9938 0.4052 0.8104
6 O 0.4980 0.4492 0.8985
7 O 0.3813 0.7863 0.5727
8 O 0.1730 0.4189 0.3877
9 O 0.8270 0.0312 0.6123
10 O 0.3591 0.1531 0.7405
11 O 0.0000 0.2505 0.0000
12 O 0.6409 0.4126 0.2595
13 O 0.1730 0.9688 0.3877
14 O 0.5020 0.5508 0.1015
15 O 0.8585 0.9080 0.8161
16 O 0.2613 0.2720 0.5440
17 O 0.0062 0.5948 0.1896
18 O 0.1415 0.0920 0.1839
19 O 0.6409 0.8469 0.2595
20 O 0.8270 0.5811 0.6123
21 Li 0.4279 0.6758 0.3516
22 Li 0.5153 0.8674 0.7347
23 Li 0.2086 0.0470 0.6100
24 Li 0.7717 0.2220 0.8712
25 Li 0.0335 0.9122 0.2636
26 Li 0.7717 0.6492 0.8712
27 Li 0.5721 0.3242 0.6484
28 Li 0.2086 0.5629 0.6100
29 Li 0.2283 0.3508 0.1288
30 Li 0.1370 0.7303 0.4606
31 Li 0.9665 0.6486 0.7364
32 Li 0.4847 0.1326 0.2653
33 Li 0.0335 0.3514 0.2636
34 Li 0.7597 0.5080 0.0161
35 Li 0.8630 0.2697 0.5394
36 Li 0.7914 0.9530 0.3900
37 Li 0.9665 0.0878 0.7364
38 Li 0.2283 0.7780 0.1288
39 Li 0.2403 0.4920 0.9839
40 Li 0.7914 0.4371 0.3900
41 Si 0.6905 0.7809 0.5619
42 Si 0.3095 0.2191 0.4381
43 Si 0.3066 0.3995 0.7989
44 Si 0.6934 0.6005 0.2011
45 Pb 0.2099 0.9613 0.9227
46 Pb 0.7901 0.0387 0.0773

Output
Its density of states at the Fermi level is 0.0 states/eV per cell. As for the space group: No. 12.

[19]
The following is a DFT calculation (PBE) of a relaxed structure of LiSm2PbO5.

Lattice parameters (Å, degrees): 6.4113 6.7304 6.7304 90.00 90.00 90.00
Last column: magnetic moment on the atom in μB.
Atoms (fractional coordinates):
1 Pb 0.0000 0.0000 0.5000  0.15
2 Pb 0.0000 0.5000 0.0000  0.15
3 O 0.2682 0.1464 0.6464  0.13
4 O 0.2682 0.3536 0.1464  0.13
5 O 0.2682 0.8536 0.3536  0.13
6 O 0.7318 0.8536 0.3536  0.13
7 O 0.7318 0.6464 0.8536  0.13
8 O 0.5000 0.0000 0.0000  0.04
9 O 0.7318 0.3536 0.1464  0.13
10 O 0.5000 0.5000 0.5000  0.04
11 O 0.2682 0.6464 0.8536  0.13
12 O 0.7318 0.1464 0.6464  0.13
13 Li 0.0000 0.0000 0.0000  0.00
14 Li 0.0000 0.5000 0.5000  0.00
15 Sm 0.5000 0.3253 0.8253  0.02
16 Sm 0.5000 0.8253 0.6747  0.02
17 Sm 0.5000 0.1747 0.3253  0.02
18 Sm 0.5000 0.6747 0.1747  0.02

Output
Its density of states at the Fermi level is 4.5 states/eV per cell. As for the space group: No. 127.

Final energy in eV/atom, matching the order above: -6.30, -5.85, -6.10, -5.95, -5.97, -5.62, -5.83, -5.68, -5.57, -5.41, -4.24, -6.97, -6.10, -6.21, -5.15, -4.87, -5.05, -5.80, -6.50
Formation energy without anion corrections in eV per atom, matching the order above: -0.9809, -0.7726, -1.1339, -0.9844, -1.0030, -1.1237, -1.3652, -1.4521, -1.2484, -1.3131, -0.5622, -2.1624, -1.4518, -2.0022, -0.7965, -1.0154, -0.9758, -2.1833, -2.0721